Nd2TcO8 | GGA-PBE | relaxed

abc: 5.0187 6.0061 6.1157
angles: 65.72 85.06 67.73
Space group P-1 (No. 2)
Unique sites:
Nd 0.1546 0.1299 0.1869 [2 per cell]
Tc 0.0000 0.5000 0.5000 [1 per cell]
O 0.1289 0.5348 0.1851 [2 per cell]
O 0.1480 0.7380 0.5147 [2 per cell]
O 0.2965 0.9579 0.8674 [2 per cell]
O 0.3526 0.1758 0.6685 [2 per cell]

Results
Energy above the lowest structure with this stoichiometry: 0.0000 eV/atom
ΔE_f (raw): -1937 meV/atom

---

SmDyTcAg | GGA-PBE | relaxed

abc: 7.0995 7.0995 7.0995
angles: 90.00 90.00 90.00
Space group F-43m (No. 216)
Unique sites:
Sm 0.0000 0.0000 0.0000 [4 per cell]
Dy 0.0000 0.0000 0.5000 [4 per cell]
Tc 0.2500 0.2500 0.2500 [4 per cell]
Ag 0.2500 0.2500 0.7500 [4 per cell]

Results
DFT total energy: -5.7060 eV/atom

---

SrPbO2 | GGA-PBE | relaxed

abc: 3.6856 3.6856 20.8534
angles: 90.00 90.00 120.00
Space group R-3m (No. 166, hexagonal axes)
Unique sites:
Sr 0.0000 0.0000 0.0000 [3 per cell]
Pb 0.0000 0.0000 0.5000 [3 per cell]
O 0.0000 0.0000 0.3956 [6 per cell]

Results
ΔE_f (raw): -1568 meV/atom

---

Ti8V2Sn3 | GGA-PBE | relaxed

abc: 5.3662 5.3662 28.7381
angles: 90.00 90.00 120.00
Space group R-3m (No. 166, hexagonal axes)
Unique sites:
Ti 0.0000 0.0000 0.2172 [6 per cell]
Ti 0.0033 0.5016 0.7310 [18 per cell]
V 0.0000 0.0000 0.1351 [6 per cell]
Sn 0.0000 0.0000 0.3120 [6 per cell]
Sn 0.0000 0.0000 0.5000 [3 per cell]

Results
DFT total energy: -7.0557 eV/atom

---

LiTa2Rh | GGA-PBE | relaxed

abc: 5.4735 8.6535 2.7889
angles: 90.00 105.78 90.00
Space group C2/m (No. 12)
Unique sites:
Li 0.0000 0.0000 0.0000 [2 per cell]
Ta 0.2500 0.2500 0.5000 [4 per cell]
Rh 0.0000 0.5000 0.0000 [2 per cell]

Results
DFT total energy: -8.2338 eV/atom

---

TbSmPt | GGA-PBE | relaxed

abc: 5.3924 4.6177 7.3298
angles: 90.00 108.74 90.00
Space group P2_1/m (No. 11)
Unique sites:
Tb 0.2402 0.2500 0.4504 [2 per cell]
Sm 0.2307 0.2500 0.9316 [2 per cell]
Pt 0.3200 0.7500 0.7113 [2 per cell]

Results
Energy above the lowest structure with this stoichiometry: 0.0460 eV/atom

---

Ac3Pm2HoS6 | GGA-PBE | relaxed

abc: 7.1061 12.3361 7.2875
angles: 90.00 109.09 90.00
Space group C2/m (No. 12)
Unique sites:
Ac 0.0000 0.0000 0.0000 [2 per cell]
Ac 0.0000 0.3304 0.0000 [4 per cell]
Pm 0.0000 0.1667 0.5000 [4 per cell]
Ho 0.0000 0.5000 0.5000 [2 per cell]
S 0.2371 0.3376 0.7249 [8 per cell]
S 0.2486 0.5000 0.2717 [4 per cell]

Results
ΔE_f (raw): -2001 meV/atom

---

Th2Ni3PdPt12 | GGA-PBE | relaxed

abc: 8.1106 8.1106 18.9674
angles: 90.00 90.00 120.00
Space group R-3m (No. 166, hexagonal axes)
Unique sites:
Th 0.0000 0.0000 0.1167 [6 per cell]
Ni 0.0000 0.5000 0.0000 [9 per cell]
Pd 0.0000 0.0000 0.5000 [3 per cell]
Pt 0.0074 0.5037 0.3747 [18 per cell]
Pt 0.0178 0.5089 0.8717 [18 per cell]

Results
DFT total energy: -6.2047 eV/atom